# 1
First-principles (PBE) data for crystalline AcMg2Tl at its relaxed geometry, as listed in Alexandria via LeMat-Bulk.

Cell lengths 4.886, 9.645, 10.441 Å; angles 90.00, 90.00, 104.67 degrees
Element x y z (fractional)
Ac1 0.500 0.000 0.500
Ac2 0.500 0.000 0.000
Ac3 0.696 0.392 0.250
Ac4 0.304 0.608 0.750
Mg1 0.108 0.216 0.750
Mg2 0.049 0.098 0.250
Mg3 0.892 0.784 0.250
Mg4 0.951 0.902 0.750
Mg5 0.305 0.609 0.400
Mg6 0.695 0.391 0.600
Mg7 0.695 0.391 0.900
Mg8 0.305 0.609 0.100
Tl1 0.858 0.715 0.525
Tl2 0.142 0.285 0.025
Tl3 0.858 0.715 0.975
Tl4 0.142 0.285 0.475

Calculated values
- polymorph energy (0 for the lowest one) (meV per atom) = 21
- magnetic moment (μB per cell) = 0.000
- density of states at the Fermi level (states/eV/atom) = 0.75
- theoretical density (g cm⁻³) = 6.70
- SG = No. 63


# 2
First-principles (PBE) data for crystalline Ac2Mg15Tl2 at its relaxed geometry, as listed in Alexandria via LeMat-Bulk.

Cell lengths 7.927, 7.927, 7.927 Å; angles 83.03, 83.03, 83.03 degrees
Element x y z (fractional)
Ac1 0.332 0.332 0.332
Ac2 0.668 0.668 0.668
Mg1 0.500 0.000 0.000
Mg2 0.000 0.000 0.500
Mg3 0.000 0.500 0.000
Mg4 0.000 0.697 0.303
Mg5 0.697 0.303 0.000
Mg6 0.303 0.000 0.697
Mg7 0.303 0.697 0.000
Mg8 0.697 0.000 0.303
Mg9 0.000 0.303 0.697
Mg10 0.164 0.650 0.650
Mg11 0.650 0.650 0.164
Mg12 0.650 0.164 0.650
Mg13 0.836 0.350 0.350
Mg14 0.350 0.350 0.836
Mg15 0.350 0.836 0.350
Tl1 0.102 0.102 0.102
Tl2 0.898 0.898 0.898

Calculated values
- magnetic moment (μB per cell) = 0.000
- density of states at the Fermi level (states/eV/atom) = 0.42
- uncorrected energy (eV/cell) = -38.75
- theoretical density (g cm⁻³) = 4.18
- SG = No. 166